The following is a DFT calculation (GGA-PBE) of a geometry-optimized Ce3Dy3YTe8 structure.

Energy relative to the elements, uncorrected (eV per atom): -1.39
DOS(E_F) (states/eV/atom): 1.57

```
data_Ce3Dy3YTe8
_chemical_formula_sum 'Ce9 Dy9 Y3 Te24'
_space_group_name_H-M_alt 'R -3 m'
_space_group_IT_number 166
_space_group_name_Hall '-R 3 2"'
_cell_length_a 8.7815
_cell_length_b 8.7815
_cell_length_c 21.7852
_cell_angle_alpha 90.00
_cell_angle_beta 90.00
_cell_angle_gamma 120.00
loop_
_atom_site_label
_atom_site_type_symbol
_atom_site_fract_x
_atom_site_fract_y
_atom_site_fract_z
Ce1 Ce 0.0000 0.5000 0.0000
Dy1 Dy 0.0000 0.5000 0.5000
Y1 Y 0.0000 0.0000 0.5000
Te1 Te 0.0000 0.0000 0.2464
Te2 Te 0.0083 0.5041 0.7517
```

The following is a DFT calculation (GGA-PBE) of a geometry-optimized CeDy2Y3Te6 structure.

Energy relative to the elements, uncorrected (eV per atom): -1.31
DOS(E_F) (states/eV/atom): 1.04

```
data_CeDy2Y3Te6
_chemical_formula_sum 'Ce2 Dy4 Y6 Te12'
_space_group_name_H-M_alt 'C 1 2/m 1'
_space_group_IT_number 12
_space_group_name_Hall '-C 2y'
_cell_length_a 19.128
_cell_length_b 4.357
_cell_length_c 8.823
_cell_angle_alpha 90.00
_cell_angle_beta 103.54
_cell_angle_gamma 90.00
loop_
_atom_site_label
_atom_site_type_symbol
_atom_site_fract_x
_atom_site_fract_y
_atom_site_fract_z
Ce1 Ce 0.000 0.000 0.000
Dy1 Dy 0.164 0.500 0.328
Y1 Y 0.000 0.000 0.500
Y2 Y 0.164 0.500 0.833
Te1 Te 0.000 0.500 0.258
Te2 Te 0.169 0.000 0.582
Te3 Te 0.171 0.000 0.085
```

The following is a DFT calculation (GGA-PBE) of a geometry-optimized Ce3DyY3Te8 structure.

Energy relative to the elements, uncorrected (eV per atom): -1.39
DOS(E_F) (states/eV/atom): 1.58

```
data_Ce3DyY3Te8
_chemical_formula_sum 'Ce3 Dy1 Y3 Te8'
_space_group_name_H-M_alt 'P -1'
_space_group_IT_number 2
_space_group_name_Hall '-P 1'
_cell_length_a 8.788
_cell_length_b 8.792
_cell_length_c 8.858
_cell_angle_alpha 60.29
_cell_angle_beta 60.28
_cell_angle_gamma 60.03
loop_
_atom_site_label
_atom_site_type_symbol
_atom_site_fract_x
_atom_site_fract_y
_atom_site_fract_z
Ce1 Ce 0.000 0.000 0.000
Ce2 Ce 0.000 0.500 0.000
Ce3 Ce 0.500 0.000 0.000
Dy1 Dy 0.000 0.000 0.500
Y1 Y 0.000 0.500 0.500
Y2 Y 0.500 0.000 0.500
Y3 Y 0.500 0.500 0.500
Te1 Te 0.252 0.252 0.255
Te2 Te 0.252 0.741 0.255
Te3 Te 0.253 0.253 0.740
Te4 Te 0.259 0.748 0.745
```

The following is a DFT calculation (GGA-PBE) of a geometry-optimized Ce4Dy3YTe8 structure.

Energy relative to the elements, uncorrected (eV per atom): -1.34
DOS(E_F) (states/eV/atom): 1.87

```
data_Ce4Dy3YTe8
_chemical_formula_sum 'Ce12 Dy9 Y3 Te24'
_space_group_name_H-M_alt 'R -3 m'
_space_group_IT_number 166
_space_group_name_Hall '-R 3 2"'
_cell_length_a 8.7704
_cell_length_b 8.7704
_cell_length_c 22.0550
_cell_angle_alpha 90.00
_cell_angle_beta 90.00
_cell_angle_gamma 120.00
loop_
_atom_site_label
_atom_site_type_symbol
_atom_site_fract_x
_atom_site_fract_y
_atom_site_fract_z
Ce1 Ce 0.0000 0.0000 0.0000
Ce2 Ce 0.0000 0.5000 0.0000
Dy1 Dy 0.0000 0.5000 0.5000
Y1 Y 0.0000 0.0000 0.5000
Te1 Te 0.0000 0.0000 0.2462
Te2 Te 0.9996 0.4998 0.2463
```

The following is a DFT calculation (GGA-PBE) of a geometry-optimized CeDy3Y2Te6 structure.

Energy relative to the elements, uncorrected (eV per atom): -1.31
DOS(E_F) (states/eV/atom): 1.03

```
data_CeDy3Y2Te6
_chemical_formula_sum 'Ce2 Dy6 Y4 Te12'
_space_group_name_H-M_alt 'C 1 2/m 1'
_space_group_IT_number 12
_space_group_name_Hall '-C 2y'
_cell_length_a 19.107
_cell_length_b 4.354
_cell_length_c 8.821
_cell_angle_alpha 90.00
_cell_angle_beta 103.45
_cell_angle_gamma 90.00
loop_
_atom_site_label
_atom_site_type_symbol
_atom_site_fract_x
_atom_site_fract_y
_atom_site_fract_z
Ce1 Ce 0.000 0.000 0.000
Dy1 Dy 0.000 0.000 0.500
Dy2 Dy 0.164 0.500 0.833
Y1 Y 0.164 0.500 0.328
Te1 Te 0.000 0.500 0.258
Te2 Te 0.168 0.000 0.583
Te3 Te 0.171 0.000 0.084
```

The following is a DFT calculation (GGA-PBE) of a geometry-optimized CeDy14Th structure.

Formation energy from the elements (meV per atom): 36
DOS(E_F) (states/eV/atom): 1.48

```
data_CeDy14Th
_chemical_formula_sum 'Ce2 Dy28 Th2'
_space_group_name_H-M_alt 'C m m m'
_space_group_IT_number 65
_space_group_name_Hall '-C 2 2'
_cell_length_a 10.022
_cell_length_b 10.031
_cell_length_c 10.028
_cell_angle_alpha 90.00
_cell_angle_beta 90.00
_cell_angle_gamma 90.00
loop_
_atom_site_label
_atom_site_type_symbol
_atom_site_fract_x
_atom_site_fract_y
_atom_site_fract_z
Ce1 Ce 0.000 0.000 0.000
Dy1 Dy 0.000 0.000 0.500
Dy2 Dy 0.000 0.251 0.249
Dy3 Dy 0.000 0.500 0.500
Dy4 Dy 0.249 0.500 0.249
Dy5 Dy 0.250 0.250 0.000
Dy6 Dy 0.250 0.250 0.500
Th1 Th 0.000 0.500 0.000
```

The following is a DFT calculation (GGA-PBE) of a geometry-optimized Ce12DyTh7 structure.

Formation energy from the elements (meV per atom): 815
DOS(E_F) (states/eV/atom): 3.61

```
data_Ce12DyTh7
_chemical_formula_sum 'Ce24 Dy2 Th14'
_space_group_name_H-M_alt 'I m -3'
_space_group_IT_number 204
_space_group_name_Hall '-I 2 2 3'
_cell_length_a 11.068
_cell_length_b 11.068
_cell_length_c 11.068
_cell_angle_alpha 90.00
_cell_angle_beta 90.00
_cell_angle_gamma 90.00
loop_
_atom_site_label
_atom_site_type_symbol
_atom_site_fract_x
_atom_site_fract_y
_atom_site_fract_z
Ce1 Ce 0.000 0.206 0.301
Dy1 Dy 0.000 0.000 0.000
Th1 Th 0.000 0.000 0.500
Th2 Th 0.250 0.250 0.250
```

The following is a DFT calculation (GGA-PBE) of a geometry-optimized Ce5Dy2Th6 structure.

Formation energy from the elements (meV per atom): 160
DOS(E_F) (states/eV/atom): 2.45

```
data_Ce5Dy2Th6
_chemical_formula_sum 'Ce10 Dy4 Th12'
_space_group_name_H-M_alt 'P b a m'
_space_group_IT_number 55
_space_group_name_Hall '-P 2 2ab'
_cell_length_a 11.555
_cell_length_b 20.221
_cell_length_c 3.428
_cell_angle_alpha 90.00
_cell_angle_beta 90.00
_cell_angle_gamma 90.00
loop_
_atom_site_label
_atom_site_type_symbol
_atom_site_fract_x
_atom_site_fract_y
_atom_site_fract_z
Ce1 Ce 0.000 0.000 0.000
Ce2 Ce 0.091 0.272 0.000
Ce3 Ce 0.219 0.545 0.000
Dy1 Dy 0.162 0.714 0.500
Th1 Th 0.044 0.420 0.500
Th2 Th 0.072 0.138 0.500
Th3 Th 0.201 0.878 0.000
```

The following is a DFT calculation (GGA-PBE) of a geometry-optimized CeDy3Th structure.

Formation energy from the elements (meV per atom): 457
DOS(E_F) (states/eV/atom): 2.21

```
data_CeDy3Th
_chemical_formula_sum 'Ce4 Dy12 Th4'
_space_group_name_H-M_alt 'C 1 2/m 1'
_space_group_IT_number 12
_space_group_name_Hall '-C 2y'
_cell_length_a 6.036
_cell_length_b 10.372
_cell_length_c 11.347
_cell_angle_alpha 90.00
_cell_angle_beta 99.55
_cell_angle_gamma 90.00
loop_
_atom_site_label
_atom_site_type_symbol
_atom_site_fract_x
_atom_site_fract_y
_atom_site_fract_z
Ce1 Ce 0.000 0.164 0.000
Dy1 Dy 0.241 0.500 0.751
Dy2 Dy 0.243 0.166 0.747
Th1 Th 0.000 0.336 0.500
```

The following is a DFT calculation (GGA-PBE) of a geometry-optimized Ce2DyTh structure.

Formation energy from the elements (meV per atom): 161
DOS(E_F) (states/eV/atom): 2.65
Distance to the lowest polymorph of the same formula (meV per atom): 104.5

```
data_Ce2DyTh
_chemical_formula_sum 'Ce2 Dy1 Th1'
_space_group_name_H-M_alt 'P 1 2/m 1'
_space_group_IT_number 10
_space_group_name_Hall '-P 2y'
_cell_length_a 3.404
_cell_length_b 5.937
_cell_length_c 5.944
_cell_angle_alpha 90.00
_cell_angle_beta 90.34
_cell_angle_gamma 90.00
loop_
_atom_site_label
_atom_site_type_symbol
_atom_site_fract_x
_atom_site_fract_y
_atom_site_fract_z
Ce1 Ce 0.206 0.000 0.271
Dy1 Dy 0.500 0.500 0.000
Th1 Th 0.000 0.500 0.500
```

The following is a DFT calculation (GGA-PBE) of a geometry-optimized Ce2Dy2Th7 structure.

Formation energy from the elements (meV per atom): 224
DOS(E_F) (states/eV/atom): 2.02

```
data_Ce2Dy2Th7
_chemical_formula_sum 'Ce4 Dy4 Th14'
_space_group_name_H-M_alt 'C 1 2/m 1'
_space_group_IT_number 12
_space_group_name_Hall '-C 2y'
_cell_length_a 12.323
_cell_length_b 6.830
_cell_length_c 9.560
_cell_angle_alpha 90.00
_cell_angle_beta 117.86
_cell_angle_gamma 90.00
loop_
_atom_site_label
_atom_site_type_symbol
_atom_site_fract_x
_atom_site_fract_y
_atom_site_fract_z
Ce1 Ce 0.000 0.197 0.000
Dy1 Dy 0.202 0.500 0.943
Th1 Th 0.000 0.500 0.500
Th2 Th 0.014 0.000 0.674
Th3 Th 0.230 0.268 0.321
```

The following is a DFT calculation (GGA-PBE) of a geometry-optimized Ce2Dy8Th3 structure.

Formation energy from the elements (meV per atom): 225
DOS(E_F) (states/eV/atom): 2.00

```
data_Ce2Dy8Th3
_chemical_formula_sum 'Ce8 Dy32 Th12'
_space_group_name_H-M_alt 'C m c e'
_space_group_IT_number 64
_space_group_name_Hall '-C 2ac 2'
_cell_length_a 11.344
_cell_length_b 13.274
_cell_length_c 11.076
_cell_angle_alpha 90.00
_cell_angle_beta 90.00
_cell_angle_gamma 90.00
loop_
_atom_site_label
_atom_site_type_symbol
_atom_site_fract_x
_atom_site_fract_y
_atom_site_fract_z
Ce1 Ce 0.000 0.213 0.063
Dy1 Dy 0.000 0.057 0.363
Dy2 Dy 0.000 0.181 0.790
Dy3 Dy 0.232 0.118 0.582
Th1 Th 0.000 0.000 0.000
Th2 Th 0.250 0.140 0.250
```

The following is a DFT calculation (GGA-PBE) of a geometry-optimized Ce2DyTh structure.

Formation energy from the elements (meV per atom): 93
DOS(E_F) (states/eV/atom): 2.48
Distance to the lowest polymorph of the same formula (meV per atom): 36.5

```
data_Ce2DyTh
_chemical_formula_sum 'Ce6 Dy3 Th3'
_space_group_name_H-M_alt 'R 3 m'
_space_group_IT_number 160
_space_group_name_Hall 'R 3 -2"'
_cell_length_a 3.4777
_cell_length_b 3.4777
_cell_length_c 34.6000
_cell_angle_alpha 90.00
_cell_angle_beta 90.00
_cell_angle_gamma 120.00
loop_
_atom_site_label
_atom_site_type_symbol
_atom_site_fract_x
_atom_site_fract_y
_atom_site_fract_z
Ce1 Ce 0.0000 0.0000 0.0000
Ce2 Ce 0.0000 0.0000 0.1657
Dy1 Dy 0.0000 0.0000 0.5838
Th1 Th 0.0000 0.0000 0.4162
```

The following is a DFT calculation (GGA-PBE) of a geometry-optimized Ce2DyTh6 structure.

Formation energy from the elements (meV per atom): 101
DOS(E_F) (states/eV/atom): 2.05

```
data_Ce2DyTh6
_chemical_formula_sum 'Ce2 Dy1 Th6'
_space_group_name_H-M_alt 'P -3'
_space_group_IT_number 147
_space_group_name_Hall '-P 3'
_cell_length_a 9.6706
_cell_length_b 9.6706
_cell_length_c 3.4859
_cell_angle_alpha 90.00
_cell_angle_beta 90.00
_cell_angle_gamma 120.00
loop_
_atom_site_label
_atom_site_type_symbol
_atom_site_fract_x
_atom_site_fract_y
_atom_site_fract_z
Ce1 Ce 0.3333 0.6667 0.2589
Dy1 Dy 0.0000 0.0000 0.5000
Th1 Th 0.0223 0.6745 0.7688
```

The following is a DFT calculation (GGA-PBE) of a geometry-optimized Ce2DyTh structure.

Formation energy from the elements (meV per atom): 57
DOS(E_F) (states/eV/atom): 2.42
Distance to the lowest polymorph of the same formula (meV per atom): 0.0

```
data_Ce2DyTh
_chemical_formula_sum 'Ce6 Dy3 Th3'
_space_group_name_H-M_alt 'R -3 m'
_space_group_IT_number 166
_space_group_name_Hall '-R 3 2"'
_cell_length_a 3.4783
_cell_length_b 3.4783
_cell_length_c 34.1940
_cell_angle_alpha 90.00
_cell_angle_beta 90.00
_cell_angle_gamma 120.00
loop_
_atom_site_label
_atom_site_type_symbol
_atom_site_fract_x
_atom_site_fract_y
_atom_site_fract_z
Ce1 Ce 0.0000 0.0000 0.2484
Dy1 Dy 0.0000 0.0000 0.0000
Th1 Th 0.0000 0.0000 0.5000
```

The following is a DFT calculation (GGA-PBE) of a geometry-optimized CeDy3Th2 structure.

Formation energy from the elements (meV per atom): 49
DOS(E_F) (states/eV/atom): 1.81

```
data_CeDy3Th2
_chemical_formula_sum 'Ce4 Dy12 Th8'
_space_group_name_H-M_alt 'C 1 2/m 1'
_space_group_IT_number 12
_space_group_name_Hall '-C 2y'
_cell_length_a 21.726
_cell_length_b 3.534
_cell_length_c 11.588
_cell_angle_alpha 90.00
_cell_angle_beta 121.99
_cell_angle_gamma 90.00
loop_
_atom_site_label
_atom_site_type_symbol
_atom_site_fract_x
_atom_site_fract_y
_atom_site_fract_z
Ce1 Ce 0.106 0.000 0.229
Dy1 Dy 0.056 0.500 0.431
Dy2 Dy 0.113 0.000 0.735
Dy3 Dy 0.224 0.000 0.598
Th1 Th 0.055 0.500 0.928
Th2 Th 0.220 0.000 0.096
```

The following is a DFT calculation (GGA-PBE) of a geometry-optimized CeDy6Th2 structure.

Formation energy from the elements (meV per atom): 150
DOS(E_F) (states/eV/atom): 1.87

```
data_CeDy6Th2
_chemical_formula_sum 'Ce4 Dy24 Th8'
_space_group_name_H-M_alt 'C 1 2/c 1'
_space_group_IT_number 15
_space_group_name_Hall '-C 2yc'
_cell_length_a 12.078
_cell_length_b 15.571
_cell_length_c 6.104
_cell_angle_alpha 90.00
_cell_angle_beta 90.69
_cell_angle_gamma 90.00
loop_
_atom_site_label
_atom_site_type_symbol
_atom_site_fract_x
_atom_site_fract_y
_atom_site_fract_z
Ce1 Ce 0.000 0.025 0.250
Dy1 Dy 0.078 0.400 0.989
Dy2 Dy 0.115 0.257 0.429
Dy3 Dy 0.144 0.165 0.924
Th1 Th 0.239 0.056 0.459
```

The following is a DFT calculation (GGA-PBE) of a geometry-optimized Ce2Dy6Th structure.

Formation energy from the elements (meV per atom): 153
DOS(E_F) (states/eV/atom): 2.36

```
data_Ce2Dy6Th
_chemical_formula_sum 'Ce4 Dy12 Th2'
_space_group_name_H-M_alt 'C 1 2/m 1'
_space_group_IT_number 12
_space_group_name_Hall '-C 2y'
_cell_length_a 9.138
_cell_length_b 17.522
_cell_length_c 3.552
_cell_angle_alpha 90.00
_cell_angle_beta 99.42
_cell_angle_gamma 90.00
loop_
_atom_site_label
_atom_site_type_symbol
_atom_site_fract_x
_atom_site_fract_y
_atom_site_fract_z
Ce1 Ce 0.000 0.164 0.000
Dy1 Dy 0.167 0.332 0.333
Dy2 Dy 0.167 0.500 0.836
Th1 Th 0.000 0.000 0.500
```

The following is a DFT calculation (GGA-PBE) of a geometry-optimized CeDy2Th4 structure.

Formation energy from the elements (meV per atom): 76
DOS(E_F) (states/eV/atom): 1.82

```
data_CeDy2Th4
_chemical_formula_sum 'Ce2 Dy4 Th8'
_space_group_name_H-M_alt 'C m m m'
_space_group_IT_number 65
_space_group_name_Hall '-C 2 2'
_cell_length_a 3.537
_cell_length_b 35.708
_cell_length_c 3.522
_cell_angle_alpha 90.00
_cell_angle_beta 90.00
_cell_angle_gamma 90.00
loop_
_atom_site_label
_atom_site_type_symbol
_atom_site_fract_x
_atom_site_fract_y
_atom_site_fract_z
Ce1 Ce 0.000 0.000 0.000
Dy1 Dy 0.000 0.292 0.500
Th1 Th 0.000 0.138 0.000
Th2 Th 0.000 0.432 0.500
```

The following is a DFT calculation (GGA-PBE) of a geometry-optimized Ce2DyTh7 structure.

Formation energy from the elements (meV per atom): 28
DOS(E_F) (states/eV/atom): 1.75

```
data_Ce2DyTh7
_chemical_formula_sum 'Ce4 Dy2 Th14'
_space_group_name_H-M_alt 'C 1 2/m 1'
_space_group_IT_number 12
_space_group_name_Hall '-C 2y'
_cell_length_a 18.043
_cell_length_b 4.979
_cell_length_c 7.074
_cell_angle_alpha 90.00
_cell_angle_beta 101.51
_cell_angle_gamma 90.00
loop_
_atom_site_label
_atom_site_type_symbol
_atom_site_fract_x
_atom_site_fract_y
_atom_site_fract_z
Ce1 Ce 0.199 0.000 0.099
Dy1 Dy 0.000 0.000 0.500
Th1 Th 0.000 0.000 0.000
Th2 Th 0.101 0.500 0.301
Th3 Th 0.102 0.500 0.802
Th4 Th 0.200 0.000 0.602
```

no.,total DFT energy (no corrections) (eV for the cell shown)
1,-252.03
2,-138.28
3,-87.84
4,-271.74
5,-134.43
6,-154.42
7,-222.91
8,-162.64
9,-99.50
10,-23.25
11,-141.10
12,-272.10
13,-70.55
14,-60.08
15,-70.99
16,-137.14
17,-188.16
18,-91.04
19,-88.57
20,-136.25